Entry 1:
# TlZnAg2Br6, optimized geometry, DFT GGA-PBE
# - uncorrected energy (eV/cell) = -49.1
# - symmetry = No. 15
# - formation energy from raw total energies (kJ/mol of atoms) = -50
data_TlZnAg2Br6
_chemical_formula_sum 'Tl2 Zn2 Ag4 Br12'
_space_group_name_H-M_alt 'P 1'
_space_group_IT_number 1
_space_group_name_Hall 'P 1'
_cell_length_a 8.913
_cell_length_b 9.757
_cell_length_c 9.757
_cell_angle_alpha 81.94
_cell_angle_beta 69.86
_cell_angle_gamma 69.86
loop_
_atom_site_label
_atom_site_fract_x
_atom_site_fract_y
_atom_site_fract_z
Tl1 0.750 0.184 0.816
Tl2 0.250 0.816 0.184
Zn1 0.250 0.162 0.838
Zn2 0.750 0.838 0.162
Br1 0.174 0.681 0.563
Br2 0.677 0.843 0.935
Br3 0.992 0.358 0.862
Br4 0.008 0.642 0.138
Br5 0.826 0.319 0.437
Br6 0.492 0.862 0.358
Br7 0.823 0.065 0.157
Br8 0.326 0.437 0.319
Br9 0.323 0.157 0.065
Br10 0.508 0.138 0.642
Br11 0.674 0.563 0.681
Br12 0.177 0.935 0.843
Ag1 0.897 0.648 0.742
Ag2 0.397 0.742 0.648
Ag3 0.603 0.258 0.352
Ag4 0.103 0.352 0.258

---

Entry 2:
# TlZnAgBr4, optimized geometry, DFT GGA-PBE
# - uncorrected energy (eV/cell) = -36.2
# - symmetry = No. 11
# - formation energy from raw total energies (kJ/mol of atoms) = -68
data_TlZnAgBr4
_chemical_formula_sum 'Tl2 Zn2 Ag2 Br8'
_space_group_name_H-M_alt 'P 1'
_space_group_IT_number 1
_space_group_name_Hall 'P 1'
_cell_length_a 6.724
_cell_length_b 7.681
_cell_length_c 8.977
_cell_angle_alpha 90.00
_cell_angle_beta 103.04
_cell_angle_gamma 90.00
loop_
_atom_site_label
_atom_site_fract_x
_atom_site_fract_y
_atom_site_fract_z
Br1 0.980 0.509 0.284
Br2 0.980 0.991 0.284
Br3 0.474 0.750 0.555
Br4 0.649 0.250 0.922
Br5 0.020 0.491 0.716
Br6 0.351 0.750 0.078
Br7 0.526 0.250 0.445
Br8 0.020 0.009 0.716
Ag1 0.840 0.750 0.482
Ag2 0.160 0.250 0.518
Zn1 0.764 0.250 0.687
Zn2 0.236 0.750 0.313
Tl1 0.784 0.750 0.961
Tl2 0.216 0.250 0.039